# 1
VASP calculation (PBE-GGA) on a geometry-optimized Ba2ScCuO4 structure.

Cell: 4.1709 4.1709 8.0561 Å, 90.00 90.00 90.00°
Last column: nearest neighbours and their distance in Å.
Space group P4/mmm (No. 123)
Inequivalent atoms, fractional coordinates:
Ba 0.0000 0.0000 0.2323 (multiplicity 2)  8 O 2.80-2.97
Sc 0.5000 0.5000 0.0000 (multiplicity 1)  6 O 2.09-2.22
Cu 0.5000 0.5000 0.5000 (multiplicity 1)  2 O 1.81
O 0.0000 0.5000 0.0000 (multiplicity 2)  2 Sc 2.09
O 0.5000 0.5000 0.2753 (multiplicity 2)  1 Cu 1.81

## Properties
Energy relative to the elements, uncorrected = -2.529 eV/atom

# 2
VASP calculation (PBE-GGA) on a geometry-optimized Ca3Y structure.

Cell: 3.7171 5.5043 7.6424 Å, 90.00 90.00 90.00°
Last column: nearest neighbours and their distance in Å.
Space group Pmmm (No. 47)
Inequivalent atoms, fractional coordinates:
Ca 0.0000 0.0000 0.0000 (multiplicity 1)  10 Ca 3.72-3.87, 2 Y 3.82
Ca 0.5000 0.5000 0.2604 (multiplicity 2)  8 Ca 3.66-3.98, 4 Y 3.79
Y 0.0000 0.0000 0.5000 (multiplicity 1)  2 Y 3.72, 10 Ca 3.79-3.82

## Properties
Energy relative to the elements = 0.102 eV per atom

# 3
VASP calculation (PBE-GGA) on a geometry-optimized HfTi2Te4 structure.

Cell: 14.6953 3.8450 7.1695 Å, 90.00 119.00 90.00°
Last column: nearest neighbours and their distance in Å.
Space group C2/m (No. 12)
Inequivalent atoms, fractional coordinates:
Hf 0.0000 0.0000 0.0000 (multiplicity 2)  6 Te 2.86-2.92, 2 Ti 3.19
Ti 0.2464 0.0000 0.1901 (multiplicity 4)  5 Te 2.74-2.89
Te 0.1091 0.0000 0.7608 (multiplicity 4)  3 Ti 2.74-2.76, 1 Hf 2.86
Te 0.1397 0.5000 0.3169 (multiplicity 4)  3 Ti 2.89-3.09, 2 Hf 2.92

## Properties
Energy relative to the elements, uncorrected = -0.724 eV/atom

# 4
VASP calculation (PBE-GGA) on a geometry-optimized Pm2SmHo structure.

Cell: 5.1122 5.1122 5.0984 Å, 90.00 90.00 90.00°
Last column: nearest neighbours and their distance in Å.
Space group P4/mmm (No. 123)
Inequivalent atoms, fractional coordinates:
Pm 0.0000 0.5000 0.0000 (multiplicity 2)  4 Ho 3.61, 4 Sm 3.61, 4 Pm 3.61
Sm 0.0000 0.0000 0.5000 (multiplicity 1)  8 Pm 3.61, 4 Ho 3.61
Ho 0.5000 0.5000 0.5000 (multiplicity 1)  8 Pm 3.61, 4 Sm 3.61

## Properties
Energy relative to the elements = 0.017 eV per atom

# 5
VASP calculation (PBE-GGA) on a geometry-optimized AcLa7Sm12 structure.

Cell: 11.5986 11.5986 11.5986 Å, 90.00 90.00 90.00°
Last column: nearest neighbours and their distance in Å.
Space group Im-3 (No. 204)
Inequivalent atoms, fractional coordinates:
Ac 0.0000 0.0000 0.0000 (multiplicity 2)  12 Sm 4.14
La 0.0000 0.0000 0.5000 (multiplicity 6)  12 Sm 4.06-4.11
La 0.2500 0.2500 0.2500 (multiplicity 8)  6 Sm 2.90
Sm 0.0000 0.2519 0.2525 (multiplicity 24)  2 La 2.90

## Properties
Energy relative to the elements = 0.541 eV per atom

# 6
VASP calculation (PBE-GGA) on a geometry-optimized K2Cr2Pt structure.

Cell: 6.3450 6.3450 5.8283 Å, 90.00 90.00 90.00°
Last column: nearest neighbours and their distance in Å.
Space group P4/mbm (No. 127)
Inequivalent atoms, fractional coordinates:
K 0.2121 0.2879 0.0000 (multiplicity 4)  4 K 3.21, 2 Cr 3.36
Cr 0.1010 0.6010 0.5000 (multiplicity 4)  1 Cr 1.81
Pt 0.0000 0.0000 0.5000 (multiplicity 2)  4 Cr 2.61

## Properties
Energy relative to the elements = 0.703 eV per atom

# 7
VASP calculation (PBE-GGA) on a geometry-optimized YVGe2 structure.

Cell: 4.7342 4.7342 16.6985 Å, 90.00 90.00 90.00°
Last column: nearest neighbours and their distance in Å.
Space group I-42d (No. 122)
Inequivalent atoms, fractional coordinates:
Y 0.0000 0.0000 0.0000 (multiplicity 4)  4 Ge 3.03, 4 V 3.35
V 0.0000 0.0000 0.5000 (multiplicity 4)  4 Ge 2.45
Ge 0.1088 0.2500 0.6250 (multiplicity 8)  2 V 2.45, 2 Ge 2.58

## Properties
Energy relative to the elements = 0.030 eV per atom

# 8
VASP calculation (PBE-GGA) on a geometry-optimized Pu2HgSe structure.

Cell: 3.5498 3.5498 7.8251 Å, 90.00 90.00 90.00°
Last column: nearest neighbours and their distance in Å.
Space group P4/mmm (No. 123)
Inequivalent atoms, fractional coordinates:
Pu 0.0000 0.0000 0.2259 (multiplicity 2)  4 Se 3.07, 4 Hg 3.30
Hg 0.5000 0.5000 0.5000 (multiplicity 1)  8 Pu 3.30, 4 Hg 3.55
Se 0.5000 0.5000 0.0000 (multiplicity 1)  8 Pu 3.07

## Properties
Energy relative to the elements, uncorrected = -0.671 eV/atom

# 9
VASP calculation (PBE-GGA) on a geometry-optimized Zr2TeAu structure.

Cell: 7.1618 4.0965 6.9523 Å, 90.00 109.68 90.00°
Last column: nearest neighbours and their distance in Å.
Space group C2/m (No. 12)
Inequivalent atoms, fractional coordinates:
Zr 0.2416 0.0000 0.2246 (multiplicity 4)  3 Au 2.79, 3 Te 2.98
Te 0.0000 0.0000 0.5000 (multiplicity 2)  6 Zr 2.98
Au 0.0000 0.5000 0.0000 (multiplicity 2)  6 Zr 2.79

## Properties
Energy relative to the elements, uncorrected = -0.500 eV/atom

# 10
VASP calculation (PBE-GGA) on a geometry-optimized LiLaAg2Cl6 structure.

Cell: 6.9459 6.9459 18.6627 Å, 90.00 90.00 120.00°
Last column: nearest neighbours and their distance in Å.
Space group R3 (No. 146, hexagonal axes)
Inequivalent atoms, fractional coordinates:
Li 0.0000 0.0000 0.0000 (multiplicity 3)  6 Cl 2.58-2.68
La 0.0000 0.0000 0.4918 (multiplicity 3)  6 Cl 2.78-2.83
Ag 0.0000 0.0000 0.2481 (multiplicity 3)  3 Cl 2.54
Ag 0.0000 0.0000 0.7851 (multiplicity 3)  3 Cl 2.63
Cl 0.0085 0.6464 0.7395 (multiplicity 9)  1 Li 2.58, 1 Ag 2.63, 1 La 2.78
Cl 0.0429 0.3560 0.5768 (multiplicity 9)  1 Ag 2.54, 1 Li 2.68, 1 La 2.83

## Properties
Energy relative to the elements, uncorrected = -1.461 eV/atom

# 11
VASP calculation (PBE-GGA) on a geometry-optimized TbHo2Sc3Bi6 structure.

Cell: 7.5730 13.1221 7.5613 Å, 90.00 109.49 90.00°
Last column: nearest neighbours and their distance in Å.
Space group C2/m (No. 12)
Inequivalent atoms, fractional coordinates:
Tb 0.0000 0.0000 0.0000 (multiplicity 2)  6 Bi 3.16
Ho 0.0000 0.3332 0.0000 (multiplicity 4)  6 Bi 3.15
Sc 0.0000 0.1660 0.5000 (multiplicity 4)  6 Bi 3.03-3.04
Sc 0.0000 0.5000 0.5000 (multiplicity 2)  6 Bi 3.02-3.04
Bi 0.2445 0.3327 0.7356 (multiplicity 8)  3 Sc 3.03-3.04, 2 Ho 3.15, 1 Tb 3.16
Bi 0.2467 0.0000 0.7360 (multiplicity 4)  3 Sc 3.02-3.03, 2 Ho 3.15, 1 Tb 3.16

## Properties
Energy relative to the elements = -0.752 eV per atom

# 12
VASP calculation (PBE-GGA) on a geometry-optimized VTcI3 structure.

Cell: 5.5601 5.5601 5.5601 Å, 90.00 90.00 90.00°
Last column: nearest neighbours and their distance in Å.
Space group Pm-3m (No. 221)
Inequivalent atoms, fractional coordinates:
V 0.0000 0.0000 0.0000 (multiplicity 1)  6 I 2.78
Tc 0.5000 0.5000 0.5000 (multiplicity 1)  12 I 3.93
I 0.0000 0.0000 0.5000 (multiplicity 3)  2 V 2.78

## Properties
Energy relative to the elements, uncorrected = 0.829 eV/atom

# 13
VASP calculation (PBE-GGA) on a geometry-optimized AcSmEuAl structure.

Cell: 8.0004 8.0004 8.0004 Å, 90.00 90.00 90.00°
Last column: nearest neighbours and their distance in Å.
Space group F-43m (No. 216)
Inequivalent atoms, fractional coordinates:
Ac 0.0000 0.0000 0.0000 (multiplicity 4)  4 Sm 3.46, 4 Eu 3.46
Sm 0.2500 0.2500 0.2500 (multiplicity 4)  4 Ac 3.46, 4 Al 3.46
Eu 0.2500 0.2500 0.7500 (multiplicity 4)  4 Ac 3.46, 4 Al 3.46
Al 0.0000 0.0000 0.5000 (multiplicity 4)  4 Sm 3.46, 4 Eu 3.46

## Properties
Energy relative to the elements = 0.084 eV per atom

# 14
VASP calculation (PBE-GGA) on a geometry-optimized TbHo3Tm6Sc2 structure.

Cell: 6.0057 10.3906 11.4841 Å, 90.00 100.00 90.00°
Last column: nearest neighbours and their distance in Å.
Space group C2/m (No. 12)
Inequivalent atoms, fractional coordinates:
Tb 0.0000 0.0000 0.0000 (multiplicity 2)  6 Tm 3.43, 6 Sc 3.46-3.47
Ho 0.0000 0.1670 0.5000 (multiplicity 4)  6 Ho 3.46-3.47, 6 Tm 3.50-3.51
Ho 0.0000 0.5000 0.5000 (multiplicity 2)  6 Ho 3.46-3.47, 6 Tm 3.50-3.51
Tm 0.2469 0.5000 0.2454 (multiplicity 4)  2 Sc 3.42, 1 Tb 3.43, 6 Tm 3.45-3.49, 3 Ho 3.50-3.51
Tm 0.2501 0.1677 0.2455 (multiplicity 8)  2 Sc 3.42, 1 Tb 3.43, 6 Tm 3.45-3.49, 3 Ho 3.50-3.51
Sc 0.0000 0.3334 0.0000 (multiplicity 4)  6 Tm 3.42, 3 Sc 3.46-3.47, 3 Tb 3.46-3.47

## Properties
Energy relative to the elements = 0.038 eV per atom

# 15
VASP calculation (PBE-GGA) on a geometry-optimized Ca2VPd4 structure.

Cell: 4.6857 4.6857 14.7732 Å, 90.00 90.00 90.00°
Last column: nearest neighbours and their distance in Å.
Space group I4/mmm (No. 139)
Inequivalent atoms, fractional coordinates:
Ca 0.0000 0.0000 0.1397 (multiplicity 4)  5 Pd 2.93-3.12
V 0.0000 0.0000 0.5000 (multiplicity 2)  6 Pd 2.34-2.39
Pd 0.0000 0.0000 0.3382 (multiplicity 4)  1 V 2.39
Pd 0.0000 0.5000 0.0000 (multiplicity 4)  2 V 2.34

## Properties
Energy relative to the elements = -0.050 eV per atom

# 16
VASP calculation (PBE-GGA) on a geometry-optimized PdBr2Cl5 structure.

Cell: 4.9005 7.3931 7.4913 Å, 77.52 72.15 89.33°
Last column: nearest neighbours and their distance in Å.
Space group P1 (No. 1)
Inequivalent atoms, fractional coordinates:
Pd 0.0000 0.0000 0.0000 (multiplicity 1)  6 Cl 2.29-2.48
Br 0.4064 0.3238 0.1874 (multiplicity 1)  2 Cl 2.52
Br 0.4883 0.7879 0.5520 (multiplicity 1)  2 Cl 2.37-2.41
Cl 0.0665 0.7607 0.8275 (multiplicity 1)  1 Pd 2.37, 1 Br 2.41
Cl 0.1267 0.2212 0.7191 (multiplicity 1)  1 Pd 2.29
Cl 0.5037 0.9534 0.9937 (multiplicity 1)  2 Pd 2.48
Cl 0.8995 0.7612 0.2934 (multiplicity 1)  1 Br 2.37, 1 Pd 2.42
Cl 0.9089 0.2473 0.1846 (multiplicity 1)  1 Pd 2.48, 2 Br 2.52

## Properties
Energy relative to the elements, uncorrected = -0.113 eV/atom

# 17
VASP calculation (PBE-GGA) on a geometry-optimized La3AgHg structure.

Cell: 5.8112 5.8112 5.8112 Å, 90.00 90.00 90.00°
Last column: nearest neighbours and their distance in Å.
Space group Pm-3m (No. 221)
Inequivalent atoms, fractional coordinates:
La 0.0000 0.0000 0.5000 (multiplicity 3)  2 Ag 2.91
Ag 0.0000 0.0000 0.0000 (multiplicity 1)  6 La 2.91
Hg 0.5000 0.5000 0.5000 (multiplicity 1)  12 La 4.11

## Properties
Energy relative to the elements = 0.232 eV per atom

# 18
VASP calculation (PBE-GGA) on a geometry-optimized NaHoSb2 structure.

Cell: 4.7553 4.7553 18.6081 Å, 90.00 90.00 120.00°
Last column: nearest neighbours and their distance in Å.
Space group R3m (No. 160, hexagonal axes)
Inequivalent atoms, fractional coordinates:
Na 0.0000 0.0000 0.0000 (multiplicity 3)  6 Sb 3.05-3.25, 1 Ho 3.36
Ho 0.0000 0.0000 0.1805 (multiplicity 3)  6 Sb 3.13-3.19, 1 Na 3.36
Sb 0.0000 0.0000 0.5952 (multiplicity 3)  3 Na 3.05, 1 Sb 3.07, 3 Ho 3.13
Sb 0.0000 0.0000 0.7600 (multiplicity 3)  1 Sb 3.07, 3 Ho 3.19, 3 Na 3.25

## Properties
Energy relative to the elements, uncorrected = -0.547 eV/atom

# 19
VASP calculation (PBE-GGA) on a geometry-optimized Cs2HfIn structure.

Cell: 8.8023 8.8023 8.8023 Å, 90.00 90.00 90.00°
Last column: nearest neighbours and their distance in Å.
Space group Fm-3m (No. 225)
Inequivalent atoms, fractional coordinates:
Cs 0.2500 0.2500 0.2500 (multiplicity 8)  4 Hf 3.81, 4 In 3.81
Hf 0.0000 0.0000 0.0000 (multiplicity 4)  8 Cs 3.81
In 0.0000 0.0000 0.5000 (multiplicity 4)  8 Cs 3.81

## Properties
Energy relative to the elements = 1.186 eV per atom

# 20
VASP calculation (PBE-GGA) on a geometry-optimized Na3CdGe structure.

Cell: 9.9693 8.7963 8.0861 Å, 90.00 124.42 90.00°
Last column: nearest neighbours and their distance in Å.
Space group C2/m (No. 12)
Inequivalent atoms, fractional coordinates:
Na 0.0135 0.0000 0.2345 (multiplicity 4)  1 Ge 2.97, 1 Cd 3.07, 2 Na 3.29
Na 0.2196 0.3004 0.2567 (multiplicity 8)  2 Ge 3.10-3.15, 2 Cd 3.23-3.38, 1 Na 3.29
Cd 0.1537 0.5000 0.8817 (multiplicity 4)  2 Ge 2.73-2.99
Ge 0.1263 0.5000 0.4937 (multiplicity 4)  1 Ge 2.58, 1 Cd 2.73

## Properties
Energy relative to the elements = -0.007 eV per atom

# 21
VASP calculation (PBE-GGA) on a geometry-optimized Sm2MgZr structure.

Cell: 3.4121 3.4121 33.8912 Å, 90.00 90.00 120.00°
Last column: nearest neighbours and their distance in Å.
Space group R3m (No. 160, hexagonal axes)
Inequivalent atoms, fractional coordinates:
Sm 0.0000 0.0000 0.0000 (multiplicity 3)  3 Zr 3.34, 6 Sm 3.41, 3 Mg 3.56
Sm 0.0000 0.0000 0.1747 (multiplicity 3)  3 Zr 3.33, 6 Sm 3.41, 3 Mg 3.55
Mg 0.0000 0.0000 0.7542 (multiplicity 3)  6 Mg 3.41, 6 Sm 3.55-3.56
Zr 0.0000 0.0000 0.5873 (multiplicity 3)  6 Sm 3.33-3.34, 6 Zr 3.41

## Properties
Energy relative to the elements = 0.087 eV per atom

# 22
VASP calculation (PBE-GGA) on a geometry-optimized TbNd2Y6Er3 structure.

Cell: 6.1933 10.7170 11.8283 Å, 90.00 100.01 90.00°
Last column: nearest neighbours and their distance in Å.
Space group C2/m (No. 12)
Inequivalent atoms, fractional coordinates:
Tb 0.0000 0.0000 0.0000 (multiplicity 2)  6 Nd 3.57-3.58, 6 Y 3.60
Nd 0.0000 0.3333 0.0000 (multiplicity 4)  3 Tb 3.57-3.58, 3 Nd 3.57, 6 Y 3.60
Y 0.2479 0.0000 0.7466 (multiplicity 4)  3 Er 3.53-3.54, 6 Y 3.57-3.58, 1 Tb 3.60, 2 Nd 3.60
Y 0.2488 0.3336 0.7467 (multiplicity 8)  3 Er 3.54, 6 Y 3.57-3.58, 2 Nd 3.60, 1 Tb 3.60
Er 0.0000 0.1665 0.5000 (multiplicity 4)  6 Y 3.53-3.54, 6 Er 3.57-3.58
Er 0.0000 0.5000 0.5000 (multiplicity 2)  6 Y 3.54, 6 Er 3.57

## Properties
Energy relative to the elements = 0.021 eV per atom

# 23
VASP calculation (PBE-GGA) on a geometry-optimized LaGa4 structure.

Cell: 4.4422 6.7098 14.0810 Å, 90.00 90.00 90.00°
Last column: nearest neighbours and their distance in Å.
Space group Imma (No. 74)
Inequivalent atoms, fractional coordinates:
La 0.0000 0.2500 0.1173 (multiplicity 4)  13 Ga 3.15-3.36
Ga 0.0000 0.0000 0.5000 (multiplicity 4)  2 Ga 2.79
Ga 0.0000 0.0485 0.6968 (multiplicity 8)  6 Ga 2.68-2.90
Ga 0.0000 0.2500 0.8936 (multiplicity 4)  10 Ga 2.90-3.16, 1 La 3.15

## Properties
Energy relative to the elements = -0.472 eV per atom